# Pm3Ho12Tl PBE relaxed
# **Total magnetization**: 0.0 μB/f.u.
# **Theoretical density**: 8.775 Mg/m³
# **ΔH_f (0 K)**: -0.021 eV/atom
data_Pm3Ho12Tl
_cell_length_a 4.959
_cell_length_b 4.959
_cell_length_c 20.147
_cell_angle_alpha 90.00
_cell_angle_beta 90.00
_cell_angle_gamma 90.00
_space_group_name_H-M_alt 'P 4/m m m'
_space_group_IT_number 123
_space_group_name_Hall '-P 4 2'
loop_
_atom_site_label
_atom_site_type_symbol
_atom_site_fract_x
_atom_site_fract_y
_atom_site_fract_z
_atom_site_occupancy
Pm1 Pm 0.000 0.000 0.000 1
Pm2 Pm 0.000 0.000 0.252 1
Ho1 Ho 0.000 0.500 0.127 1
Ho2 Ho 0.000 0.500 0.379 1
Ho3 Ho 0.500 0.500 0.000 1
Ho4 Ho 0.500 0.500 0.257 1
Ho5 Ho 0.500 0.500 0.500 1
Tl1 Tl 0.000 0.000 0.500 1


# InSi2Pt2 PBE relaxed
# **Total magnetization**: 0.0 μB/f.u.
# **Theoretical density**: 10.993 Mg/m³
# **Energy**: -52.730 eV per cell
data_InSi2Pt2
_cell_length_a 7.885
_cell_length_b 7.885
_cell_length_c 2.727
_cell_angle_alpha 90.00
_cell_angle_beta 90.00
_cell_angle_gamma 90.00
_space_group_name_H-M_alt 'P 4/m b m'
_space_group_IT_number 127
_space_group_name_Hall '-P 4 2ab'
loop_
_atom_site_label
_atom_site_type_symbol
_atom_site_fract_x
_atom_site_fract_y
_atom_site_fract_z
_atom_site_occupancy
In1 In 0.000 0.000 0.000 1
Si1 Si 0.128 0.372 0.000 1
Pt1 Pt 0.160 0.660 0.500 1


# LaCr2Cd PBE relaxed
# **Total magnetization**: 0.3 μB/f.u.
# **Theoretical density**: 7.364 Mg/m³
# **ΔH_f (0 K)**: 0.232 eV/atom
data_LaCr2Cd
_cell_length_a 3.167
_cell_length_b 3.167
_cell_length_c 7.990
_cell_angle_alpha 90.00
_cell_angle_beta 90.00
_cell_angle_gamma 90.00
_space_group_name_H-M_alt 'P 4 m m'
_space_group_IT_number 99
loop_
_space_group_symop_operation_xyz
'x,y,z'
'-y,x,z'
'-x,-y,z'
'y,-x,z'
'-x,y,z'
'y,x,z'
'x,-y,z'
'-y,-x,z'
loop_
_atom_site_label
_atom_site_type_symbol
_atom_site_fract_x
_atom_site_fract_y
_atom_site_fract_z
_atom_site_occupancy
La1 La 0.000 0.000 0.000 1
Cr1 Cr 0.000 0.000 0.574 1
Cr2 Cr 0.500 0.500 0.703 1
Cd1 Cd 0.500 0.500 0.333 1


# Tm3Sn2Pb PBE relaxed
# **Total magnetization**: 0.0 μB/f.u.
# **Theoretical density**: 9.607 Mg/m³
# **ΔH_f (0 K)**: -0.514 eV/atom
# **ΔE to the lowest computed polymorph**: 0.0381 eV/atom
data_Tm3Sn2Pb
_cell_length_a 9.089
_cell_length_b 13.974
_cell_length_c 5.725
_cell_angle_alpha 90.00
_cell_angle_beta 115.21
_cell_angle_gamma 90.00
_space_group_name_H-M_alt 'C 1 2/c 1'
_space_group_IT_number 15
loop_
_space_group_symop_operation_xyz
'x,y,z'
'-x,-y,-z'
'-x,y,-z+1/2'
'x,-y,z+1/2'
'x+1/2,y+1/2,z'
'-x+1/2,-y+1/2,-z'
'-x+1/2,y+1/2,-z+1/2'
'x+1/2,-y+1/2,z+1/2'
loop_
_atom_site_label
_atom_site_type_symbol
_atom_site_fract_x
_atom_site_fract_y
_atom_site_fract_z
_atom_site_occupancy
Tm1 Tm 0.241 0.085 0.494 1
Tm2 Tm 0.250 0.250 0.000 1
Sn1 Sn 0.000 0.085 0.750 1
Sn2 Sn 0.000 0.254 0.250 1
Pb1 Pb 0.000 0.419 0.750 1


# KLi2Tl4 PBE relaxed
# **Total magnetization**: 0.0 μB/f.u.
# **Theoretical density**: 7.280 Mg/m³
# **ΔH_f (0 K)**: -0.119 eV/atom
data_KLi2Tl4
_cell_length_a 9.538
_cell_length_b 9.538
_cell_length_c 4.365
_cell_angle_alpha 90.00
_cell_angle_beta 90.00
_cell_angle_gamma 90.00
_space_group_name_H-M_alt 'P 42/m n m'
_space_group_IT_number 136
_space_group_name_Hall '-P 4n 2n'
loop_
_atom_site_label
_atom_site_type_symbol
_atom_site_fract_x
_atom_site_fract_y
_atom_site_fract_z
_atom_site_occupancy
K1 K 0.000 0.000 0.000 1
Li1 Li 0.224 0.224 0.500 1
Tl1 Tl 0.070 0.673 0.500 1


# Tc2SbAs PBE relaxed
# **Total magnetization**: 0.0 μB/f.u.
# **Theoretical density**: 9.368 Mg/m³
# **ΔE to the lowest computed polymorph**: 0.4858 eV/atom
data_Tc2SbAs
_cell_length_a 6.167
_cell_length_b 8.295
_cell_length_c 3.107
_cell_angle_alpha 90.00
_cell_angle_beta 118.84
_cell_angle_gamma 90.00
_space_group_name_H-M_alt 'C 1 2/m 1'
_space_group_IT_number 12
loop_
_space_group_symop_operation_xyz
'x,y,z'
'-x,-y,-z'
'-x,y,-z'
'x,-y,z'
'x+1/2,y+1/2,z'
'-x+1/2,-y+1/2,-z'
'-x+1/2,y+1/2,-z'
'x+1/2,-y+1/2,z'
loop_
_atom_site_label
_atom_site_type_symbol
_atom_site_fract_x
_atom_site_fract_y
_atom_site_fract_z
_atom_site_occupancy
Tc1 Tc 0.250 0.250 0.000 1
Sb1 Sb 0.000 0.000 0.500 1
As1 As 0.000 0.500 0.500 1


# NaTiTe2 PBE relaxed
# **Total magnetization**: 0.9 μB/f.u.
# **Theoretical density**: 4.975 Mg/m³
# **Energy**: -55.800 eV per cell
data_NaTiTe2
_cell_length_a 4.0189
_cell_length_b 4.0189
_cell_length_c 23.3410
_cell_angle_alpha 90.00
_cell_angle_beta 90.00
_cell_angle_gamma 120.00
_space_group_name_H-M_alt 'R 3 m'
_space_group_IT_number 160
_space_group_name_Hall 'R 3 -2"'
loop_
_atom_site_label
_atom_site_type_symbol
_atom_site_fract_x
_atom_site_fract_y
_atom_site_fract_z
_atom_site_occupancy
Na1 Na 0.0000 0.0000 0.0000 1
Ti1 Ti 0.0000 0.0000 0.1665 1
Te1 Te 0.0000 0.0000 0.5699 1
Te2 Te 0.0000 0.0000 0.7632 1


# Ti2NbFe PBE relaxed
# **Total magnetization**: 0.0 μB/f.u.
# **Theoretical density**: 6.727 Mg/m³
# **ΔH_f (0 K)**: -0.023 eV/atom
# **ΔE to the lowest computed polymorph**: 0.1491 eV/atom
data_Ti2NbFe
_cell_length_a 6.227
_cell_length_b 6.227
_cell_length_c 6.227
_cell_angle_alpha 90.00
_cell_angle_beta 90.00
_cell_angle_gamma 90.00
_space_group_name_H-M_alt 'F m -3 m'
_space_group_IT_number 225
_space_group_name_Hall '-F 4 2 3'
loop_
_atom_site_label
_atom_site_type_symbol
_atom_site_fract_x
_atom_site_fract_y
_atom_site_fract_z
_atom_site_occupancy
Ti1 Ti 0.250 0.250 0.250 1
Nb1 Nb 0.000 0.000 0.000 1
Fe1 Fe 0.000 0.000 0.500 1


# Li6AgPd PBE relaxed
# **Total magnetization**: 0.0 μB/f.u.
# **Theoretical density**: 3.235 Mg/m³
# **ΔH_f (0 K)**: -0.185 eV/atom
# **ΔE to the lowest computed polymorph**: 0.0263 eV/atom
data_Li6AgPd
_cell_length_a 4.663
_cell_length_b 4.663
_cell_length_c 12.086
_cell_angle_alpha 90.00
_cell_angle_beta 90.00
_cell_angle_gamma 90.00
_space_group_name_H-M_alt 'I 4/m m m'
_space_group_IT_number 139
_space_group_name_Hall '-I 4 2'
loop_
_atom_site_label
_atom_site_type_symbol
_atom_site_fract_x
_atom_site_fract_y
_atom_site_fract_z
_atom_site_occupancy
Li1 Li 0.000 0.000 0.242 1
Li2 Li 0.000 0.500 0.109 1
Ag1 Ag 0.000 0.000 0.500 1
Pd1 Pd 0.000 0.000 0.000 1


# Cr2SiP PBE relaxed
# **Total magnetization**: 1.3 μB/f.u.
# **Theoretical density**: 5.592 Mg/m³
# **ΔE to the lowest computed polymorph**: 0.2635 eV/atom
data_Cr2SiP
_cell_length_a 2.7386
_cell_length_b 2.7386
_cell_length_c 22.3635
_cell_angle_alpha 90.00
_cell_angle_beta 90.00
_cell_angle_gamma 120.00
_space_group_name_H-M_alt 'R -3 m'
_space_group_IT_number 166
_space_group_name_Hall '-R 3 2"'
loop_
_atom_site_label
_atom_site_type_symbol
_atom_site_fract_x
_atom_site_fract_y
_atom_site_fract_z
_atom_site_occupancy
Cr1 Cr 0.0000 0.0000 0.2457 1
Si1 Si 0.0000 0.0000 0.0000 1
P1 P 0.0000 0.0000 0.5000 1


# K4Sm3NpO8 PBE relaxed
# **Total magnetization**: 4.0 μB/f.u.
# **Theoretical density**: 5.770 Mg/m³
# **Energy**: -335.395 eV per cell
data_K4Sm3NpO8
_cell_length_a 7.1585
_cell_length_b 7.1585
_cell_length_c 18.9180
_cell_angle_alpha 90.00
_cell_angle_beta 90.00
_cell_angle_gamma 120.00
_space_group_name_H-M_alt 'R -3 m'
_space_group_IT_number 166
_space_group_name_Hall '-R 3 2"'
loop_
_atom_site_label
_atom_site_type_symbol
_atom_site_fract_x
_atom_site_fract_y
_atom_site_fract_z
_atom_site_occupancy
K1 K 0.0000 0.0000 0.0000 1
K2 K 0.0000 0.5000 0.0000 1
Sm1 Sm 0.0000 0.5000 0.5000 1
Np1 Np 0.0000 0.0000 0.5000 1
O1 O 0.0000 0.0000 0.2297 1
O2 O 0.0042 0.5021 0.2299 1


# PrSm2YTm PBE relaxed
# **Total magnetization**: 0.0 μB/f.u.
# **Theoretical density**: 6.493 Mg/m³
# **ΔH_f (0 K)**: 0.400 eV/atom
data_PrSm2YTm
_cell_length_a 8.460
_cell_length_b 11.629
_cell_length_c 7.273
_cell_angle_alpha 90.00
_cell_angle_beta 90.00
_cell_angle_gamma 90.00
_space_group_name_H-M_alt 'C m c m'
_space_group_IT_number 63
_space_group_name_Hall '-C 2c 2'
loop_
_atom_site_label
_atom_site_type_symbol
_atom_site_fract_x
_atom_site_fract_y
_atom_site_fract_z
_atom_site_occupancy
Pr1 Pr 0.000 0.227 0.250 1
Sm1 Sm 0.190 0.000 0.000 1
Y1 Y 0.000 0.496 0.250 1
Tm1 Tm 0.000 0.226 0.750 1